Entry 1:
Compound: K2Ca2OsO6
Source: Alexandria
Functional: PBE
Structure: relaxed

Computed properties:
E = -6.212 eV per atom
Total magnetic moment = 2.000 μB per formula unit

Lattice parameters (Å, degrees): 5.731 5.731 6.547 98.68 98.68 118.44
Positions (direct):
K: 0.169 0.831 0.000
K: 0.831 0.169 0.000
Ca: 0.337 0.663 0.500
Ca: 0.663 0.337 0.500
Os: 0.000 0.000 0.500
O: 0.053 0.341 0.675
O: 0.221 0.221 0.322
O: 0.341 0.053 0.675
O: 0.659 0.947 0.325
O: 0.779 0.779 0.678
O: 0.947 0.659 0.325



Entry 2:
Compound: NaPrZn2Au2
Source: Alexandria
Functional: PBE
Structure: relaxed

Computed properties:
Energy of formation from the pure elements = -0.45 eV/atom
E = -2.982 eV per atom
Total magnetic moment = 0.000 μB per formula unit

Lattice parameters (Å, degrees): 4.611 4.611 6.962 90.00 90.00 120.00
Positions (direct):
Na: 0.000 0.000 0.000
Pr: 0.000 0.000 0.500
Zn: 0.333 0.667 0.788
Zn: 0.667 0.333 0.212
Au: 0.333 0.667 0.236
Au: 0.667 0.333 0.764



Entry 3:
Compound: NbCr4Re
Source: Alexandria
Functional: PBE
Structure: relaxed

Computed properties:
Energy of formation from the pure elements = 0.00 eV/atom
E = -10.167 eV per atom
Total magnetic moment = 0.000 μB per formula unit

Lattice parameters (Å, degrees): 4.834 4.834 4.834 60.00 60.00 60.00
Positions (direct):
Nb: 0.000 0.000 0.000
Cr: 0.124 0.625 0.625
Cr: 0.625 0.124 0.625
Cr: 0.625 0.625 0.124
Cr: 0.625 0.625 0.625
Re: 0.250 0.250 0.250



Entry 4:
Compound: Al2MoSe
Source: Alexandria
Functional: PBE
Structure: relaxed

Computed properties:
E = -5.458 eV per atom
Total magnetic moment = 0.410 μB per formula unit

Lattice parameters (Å, degrees): 8.461 8.461 8.461 21.29 21.29 21.29
Positions (direct):
Al: 0.000 0.000 0.000
Al: 0.245 0.245 0.245
Mo: 0.495 0.495 0.495
Se: 0.757 0.757 0.757



Entry 5:
Compound: SrLi2Ac2Ge2
Source: Alexandria
Functional: PBE
Structure: relaxed

Computed properties:
Energy of formation from the pure elements = -0.43 eV/atom
E = -3.709 eV per atom
Total magnetic moment = 0.002 μB per formula unit

Lattice parameters (Å, degrees): 11.777 11.777 11.777 22.62 22.62 22.62
Positions (direct):
Sr: 0.000 0.000 0.000
Li: 0.388 0.388 0.388
Li: 0.612 0.612 0.612
Ac: 0.116 0.116 0.116
Ac: 0.884 0.884 0.884
Ge: 0.269 0.269 0.269
Ge: 0.731 0.731 0.731



Entry 6:
Compound: As3Pd5I12
Source: Alexandria
Functional: PBE
Structure: relaxed

Computed properties:
E = -2.793 eV per atom
Total magnetic moment = 2.337 μB per formula unit

Lattice parameters (Å, degrees): 15.548 15.548 15.548 109.47 109.47 109.47
Positions (direct):
As: 0.125 0.250 0.375
As: 0.125 0.375 0.750
As: 0.250 0.375 0.125
As: 0.250 0.875 0.625
As: 0.375 0.125 0.250
As: 0.375 0.750 0.125
As: 0.625 0.250 0.875
As: 0.625 0.875 0.750
As: 0.750 0.125 0.375
As: 0.750 0.625 0.875
As: 0.875 0.625 0.250
As: 0.875 0.750 0.625
Pd: 0.000 0.000 0.000
Pd: 0.000 0.000 0.500
Pd: 0.000 0.500 0.000
Pd: 0.000 0.500 0.500
Pd: 0.125 0.750 0.875
Pd: 0.125 0.875 0.250
Pd: 0.250 0.125 0.875
Pd: 0.250 0.625 0.375
Pd: 0.375 0.250 0.625
Pd: 0.375 0.625 0.750
Pd: 0.500 0.000 0.000
Pd: 0.500 0.000 0.500
Pd: 0.500 0.500 0.000
Pd: 0.500 0.500 0.500
Pd: 0.625 0.375 0.250
Pd: 0.625 0.750 0.375
Pd: 0.750 0.375 0.625
Pd: 0.750 0.875 0.125
Pd: 0.875 0.125 0.750
Pd: 0.875 0.250 0.125
I: 0.009 0.173 0.147
I: 0.009 0.336 0.862
I: 0.026 0.673 0.664
I: 0.026 0.853 0.362
I: 0.138 0.647 0.474
I: 0.138 0.991 0.664
I: 0.147 0.009 0.173
I: 0.147 0.638 0.974
I: 0.164 0.173 0.526
I: 0.164 0.491 0.638
I: 0.173 0.147 0.009
I: 0.173 0.526 0.164
I: 0.327 0.336 0.974
I: 0.327 0.491 0.353
I: 0.336 0.862 0.009
I: 0.336 0.974 0.327
I: 0.353 0.327 0.491
I: 0.353 0.526 0.862
I: 0.362 0.026 0.853
I: 0.362 0.836 0.509
I: 0.474 0.138 0.647
I: 0.474 0.836 0.827
I: 0.491 0.353 0.327
I: 0.491 0.638 0.164
I: 0.509 0.362 0.836
I: 0.509 0.647 0.673
I: 0.526 0.164 0.173
I: 0.526 0.862 0.353
I: 0.638 0.164 0.491
I: 0.638 0.974 0.147
I: 0.647 0.474 0.138
I: 0.647 0.673 0.509
I: 0.664 0.026 0.673
I: 0.664 0.138 0.991
I: 0.673 0.509 0.647
I: 0.673 0.664 0.026
I: 0.827 0.474 0.836
I: 0.827 0.853 0.991
I: 0.836 0.509 0.362
I: 0.836 0.827 0.474
I: 0.853 0.362 0.026
I: 0.853 0.991 0.827
I: 0.862 0.009 0.336
I: 0.862 0.353 0.526
I: 0.974 0.147 0.638
I: 0.974 0.327 0.336
I: 0.991 0.664 0.138
I: 0.991 0.827 0.853



Entry 7:
Compound: MgAg
Source: Alexandria
Functional: PBE
Structure: relaxed

Computed properties:
Energy of formation from the pure elements = 0.49 eV/atom
E = -1.730 eV per atom
Total magnetic moment = 0.000 μB per formula unit

Lattice parameters (Å, degrees): 7.629 7.629 7.629 90.00 90.00 90.00
Positions (direct):
Mg: 0.000 0.250 0.500
Mg: 0.000 0.750 0.500
Mg: 0.250 0.500 0.000
Mg: 0.500 0.000 0.250
Mg: 0.500 0.000 0.750
Mg: 0.750 0.500 0.000
Ag: 0.000 0.500 0.250
Ag: 0.000 0.500 0.750
Ag: 0.250 0.000 0.500
Ag: 0.500 0.250 0.000
Ag: 0.500 0.750 0.000
Ag: 0.750 0.000 0.500



Entry 8:
Compound: BaCu2Cl
Source: Alexandria
Functional: PBE
Structure: relaxed

Computed properties:
Excess energy over the best structure of this formula in the dataset = 126 meV/atom
E = -3.416 eV per atom
Total magnetic moment = 0.000 μB per formula unit

Lattice parameters (Å, degrees): 5.472 5.472 5.472 129.75 113.72 87.61
Positions (direct):
Ba: 0.000 0.000 0.000
Cu: 0.340 0.840 0.500
Cu: 0.403 0.403 0.000
Cl: 0.738 0.238 0.500



Entry 9:
Compound: LiTb4ErS8
Source: Alexandria
Functional: PBE
Structure: relaxed

Computed properties:
E = -6.113 eV per atom
Total magnetic moment = 0.000 μB per formula unit

Lattice parameters (Å, degrees): 8.010 8.010 8.010 60.26 60.26 60.26
Positions (direct):
Li: 0.000 0.000 0.000
Tb: 0.112 0.630 0.630
Tb: 0.250 0.250 0.250
Tb: 0.630 0.112 0.630
Tb: 0.630 0.630 0.112
Er: 0.630 0.630 0.630
S: 0.384 0.384 0.384
S: 0.386 0.386 0.848
S: 0.386 0.848 0.386
S: 0.395 0.867 0.867
S: 0.848 0.386 0.386
S: 0.867 0.395 0.867
S: 0.867 0.867 0.395
S: 0.869 0.869 0.869



Entry 10:
Compound: Lu2PAu
Source: Alexandria
Functional: PBE
Structure: relaxed

Computed properties:
Energy of formation from the pure elements = -1.10 eV/atom
E = -5.533 eV per atom
Total magnetic moment = 0.000 μB per formula unit

Lattice parameters (Å, degrees): 7.307 7.307 7.307 30.86 30.86 30.86
Positions (direct):
Lu: 0.243 0.243 0.243
Lu: 0.757 0.757 0.757
P: 0.500 0.500 0.500
Au: 0.000 0.000 0.000



Entry 11:
Compound: Ce2HgI
Source: Alexandria
Functional: PBE
Structure: relaxed

Computed properties:
Excess energy over the best structure of this formula in the dataset = 27 meV/atom
E = -3.891 eV per atom
Total magnetic moment = 2.287 μB per formula unit

Lattice parameters (Å, degrees): 9.735 9.735 9.735 22.95 22.95 22.95
Positions (direct):
Ce: 0.000 0.000 0.000
Ce: 0.169 0.169 0.169
Hg: 0.585 0.585 0.585
I: 0.751 0.751 0.751



Entry 12:
Compound: Pu2ThGa
Source: Alexandria
Functional: PBE
Structure: relaxed

Computed properties:
Excess energy over the best structure of this formula in the dataset = 93 meV/atom
Energy of formation from the pure elements = -0.07 eV/atom
E = -9.843 eV per atom
Total magnetic moment = 11.556 μB per formula unit

Lattice parameters (Å, degrees): 3.903 3.903 6.594 90.00 90.00 90.00
Positions (direct):
Pu: 0.000 0.000 0.217
Pu: 0.000 0.000 0.783
Th: 0.500 0.500 0.500
Ga: 0.500 0.500 0.000



Entry 13:
Compound: CaPa2GeN5
Source: Alexandria
Functional: PBE
Structure: relaxed

Computed properties:
E = -8.459 eV per atom
Total magnetic moment = 0.519 μB per formula unit

Lattice parameters (Å, degrees): 8.460 8.460 9.377 90.00 90.00 157.57
Positions (direct):
Ca: 0.219 0.781 0.500
Ca: 0.781 0.219 0.000
Pa: 0.097 0.903 0.177
Pa: 0.109 0.891 0.801
Pa: 0.891 0.109 0.301
Pa: 0.903 0.097 0.677
Ge: 0.445 0.555 0.958
Ge: 0.555 0.445 0.458
N: 0.033 0.967 0.554
N: 0.325 0.675 0.192
N: 0.348 0.652 0.849
N: 0.365 0.635 0.514
N: 0.494 0.506 0.286
N: 0.506 0.494 0.786
N: 0.635 0.365 0.014
N: 0.652 0.348 0.349
N: 0.675 0.325 0.692
N: 0.967 0.033 0.054



Entry 14:
Compound: Li2CuNi
Source: Alexandria
Functional: PBE
Structure: relaxed

Computed properties:
Excess energy over the best structure of this formula in the dataset = 12 meV/atom
Energy of formation from the pure elements = 0.00 eV/atom
E = -3.427 eV per atom
Total magnetic moment = 0.000 μB per formula unit

Lattice parameters (Å, degrees): 4.489 4.489 4.613 97.79 97.79 32.56
Positions (direct):
Li: 0.000 0.000 0.000
Li: 0.236 0.236 0.740
Cu: 0.485 0.485 0.472
Ni: 0.748 0.748 0.261



Entry 15:
Compound: Sr2PmRh9
Source: Alexandria
Functional: PBE
Structure: relaxed

Computed properties:
Energy of formation from the pure elements = -0.28 eV/atom
E = -6.473 eV per atom
Total magnetic moment = 0.000 μB per formula unit

Lattice parameters (Å, degrees): 9.427 9.427 9.427 33.07 33.07 33.07
Positions (direct):
Sr: 0.141 0.141 0.141
Sr: 0.859 0.859 0.859
Pm: 0.000 0.000 0.000
Rh: 0.084 0.577 0.577
Rh: 0.332 0.332 0.332
Rh: 0.423 0.423 0.916
Rh: 0.423 0.916 0.423
Rh: 0.500 0.500 0.500
Rh: 0.577 0.084 0.577
Rh: 0.577 0.577 0.084
Rh: 0.668 0.668 0.668
Rh: 0.916 0.423 0.423



Entry 16:
Compound: MgAlFe
Source: Alexandria
Functional: PBE
Structure: relaxed

Computed properties:
Energy of formation from the pure elements = 0.09 eV/atom
E = -4.513 eV per atom
Total magnetic moment = 2.256 μB per formula unit

Lattice parameters (Å, degrees): 2.851 2.851 13.270 90.00 90.00 120.00
Positions (direct):
Mg: 0.000 0.000 0.186
Mg: 0.000 0.000 0.814
Al: 0.000 0.000 0.500
Al: 0.333 0.667 0.000
Fe: 0.333 0.667 0.349
Fe: 0.333 0.667 0.651



Entry 17:
Compound: DyGa2SiRh4
Source: Alexandria
Functional: PBE
Structure: relaxed

Computed properties:
E = -6.471 eV per atom
Total magnetic moment = 0.000 μB per formula unit

Lattice parameters (Å, degrees): 8.011 8.011 8.011 31.40 31.40 31.40
Positions (direct):
Dy: 0.000 0.000 0.000
Ga: 0.249 0.249 0.249
Ga: 0.751 0.751 0.751
Si: 0.500 0.500 0.500
Rh: 0.133 0.133 0.133
Rh: 0.397 0.397 0.397
Rh: 0.603 0.603 0.603
Rh: 0.867 0.867 0.867



Entry 18:
Compound: Rb3SrTa
Source: Alexandria
Functional: PBE
Structure: relaxed

Computed properties:
Excess energy over the best structure of this formula in the dataset = 0 meV/atom
Energy of formation from the pure elements = 1.34 eV/atom
E = -1.944 eV per atom
Total magnetic moment = 5.864 μB per formula unit

Lattice parameters (Å, degrees): 7.086 7.086 7.086 90.00 90.00 90.00
Positions (direct):
Rb: 0.000 0.000 0.500
Rb: 0.000 0.500 0.000
Rb: 0.500 0.000 0.000
Sr: 0.500 0.500 0.500
Ta: 0.000 0.000 0.000



Entry 19:
Compound: Ba2ZnAuN
Source: Alexandria
Functional: PBE
Structure: relaxed

Computed properties:
Excess energy over the best structure of this formula in the dataset = 0 meV/atom
E = -3.815 eV per atom
Total magnetic moment = 0.000 μB per formula unit

Lattice parameters (Å, degrees): 7.216 4.430 9.203 90.00 109.29 90.00
Positions (direct):
Ba: 0.180 0.250 0.378
Ba: 0.209 0.250 0.965
Ba: 0.791 0.750 0.035
Ba: 0.820 0.750 0.622
Zn: 0.459 0.750 0.258
Zn: 0.541 0.250 0.742
Au: 0.339 0.750 0.695
Au: 0.661 0.250 0.305
N: 0.174 0.750 0.171
N: 0.826 0.250 0.829



Entry 20:
Compound: Sr4RhI3
Source: Alexandria
Functional: PBE
Structure: relaxed

Computed properties:
E = -3.367 eV per atom
Total magnetic moment = 0.000 μB per formula unit

Lattice parameters (Å, degrees): 8.640 9.865 7.865 90.00 107.91 90.00
Positions (direct):
Sr: 0.195 0.099 0.492
Sr: 0.195 0.901 0.992
Sr: 0.213 0.318 0.955
Sr: 0.213 0.682 0.455
Sr: 0.787 0.318 0.545
Sr: 0.787 0.682 0.045
Sr: 0.805 0.099 0.008
Sr: 0.805 0.901 0.508
Rh: 0.000 0.114 0.750
Rh: 0.000 0.886 0.250
I: 0.000 0.405 0.250
I: 0.000 0.595 0.750
I: 0.500 0.130 0.250
I: 0.500 0.390 0.750
I: 0.500 0.610 0.250
I: 0.500 0.870 0.750